Record 1
4
Lattice="3.021 0.000 0.000 0.000 3.021 0.000 0.000 0.000 8.290" Properties=species:S:1:pos:R:3 comment="TcWSe2 (PBE, relaxed)" sg="No. 99" pbc="T T T"
Se 0.000 0.000 7.638
Se 1.510 1.510 2.776
Tc 0.000 0.000 4.178
W 1.510 1.510 6.134

***

Record 2
4
Lattice="-2.743 0.761 0.485 0.671 -0.424 -2.776 -2.534 -9.684 0.868" Properties=species:S:1:pos:R:3 comment="TcWSe2 (PBE, relaxed)" sg="No. 35" pbc="T T T"
Se -2.388 -9.126 0.818
Se -1.823 -2.839 -0.876
Tc -1.313 -5.016 0.449
W -2.884 -6.892 -0.513

***

Record 3
3
Lattice="-2.786 0.896 -0.491 0.919 -2.625 -1.036 -1.828 -2.753 5.352" Properties=species:S:1:pos:R:3 comment="TcWSe (PBE, relaxed)" sg="No. 156" pbc="T T T"
Se -1.821 -2.741 5.330
Tc -2.173 -1.214 1.147
W -1.530 -3.279 2.700

***

Sequential energy output: -30.65; -28.84; -25.88 eV/cell
Sequential size of the total moment output: 0.0; 0.0; 0.0 μB per cell
Sequential distance to the lowest polymorph of the same formula output: 0; 453; 121 meV per atom